1.
Density functional theory data (PBE-GGA) for an optimized crystal structure of K2TlCd16.

a = 7.9059 Å, b = 7.9059 Å, c = 7.9059 Å
α = 83.32°, β = 83.32°, γ = 83.32°
Fractional positions:
Cd1 0.3545 0.8410 0.3545
Cd2 0.1014 0.1014 0.1014
Cd3 0.0055 0.4907 0.0055
Cd4 0.9993 0.3009 0.6999
Cd5 0.6440 0.1611 0.6440
Cd6 0.6999 0.3009 0.9993
Cd7 0.9993 0.6999 0.3009
Cd8 0.1611 0.6440 0.6440
Cd9 0.6440 0.6440 0.1611
Cd10 0.0055 0.0055 0.4907
Cd11 0.8410 0.3545 0.3545
Cd12 0.3009 0.9993 0.6999
Cd13 0.3545 0.3545 0.8410
Cd14 0.4907 0.0055 0.0055
Cd15 0.3009 0.6999 0.9993
Cd16 0.6999 0.9993 0.3009
K1 0.6605 0.6605 0.6605
K2 0.3398 0.3398 0.3398
Tl1 0.8973 0.8973 0.8973

Properties
* E_form: -0.06 eV/atom
* total energy: -1.07 eV/atom
* space-group type: R3m (160)

=====

2.
Density functional theory data (PBE-GGA) for an optimized crystal structure of K2Tl5Cd.

a = 5.2047 Å, b = 10.0850 Å, c = 11.1613 Å
α = 90.00°, β = 90.00°, γ = 104.95°
Fractional positions:
Tl1 0.3536 0.7073 0.5307
Tl2 0.1915 0.3829 0.6056
Tl3 0.4011 0.8022 0.2500
Tl4 0.1915 0.3829 0.8944
Tl5 0.6464 0.2927 0.0307
Tl6 0.8085 0.6171 0.1056
Tl7 0.5989 0.1978 0.7500
Tl8 0.6464 0.2927 0.4693
Tl9 0.3536 0.7073 0.9693
Tl10 0.8085 0.6171 0.3944
K1 0.0000 0.0000 0.5000
K2 0.0000 0.0000 0.0000
K3 0.1994 0.3988 0.2500
K4 0.8006 0.6012 0.7500
Cd1 0.5543 0.1085 0.2500
Cd2 0.4457 0.8915 0.7500

Properties
* E_form: -0.07 eV/atom
* total energy: -1.93 eV/atom
* space-group type: Cmcm (63)

=====

3.
Density functional theory data (PBE-GGA) for an optimized crystal structure of K4Tl4Cd.

a = 5.7866 Å, b = 12.3687 Å, c = 5.7866 Å
α = 76.47°, β = 90.00°, γ = 103.53°
Fractional positions:
K1 0.1543 0.7679 0.3863
K2 0.3863 0.2321 0.6137
K3 0.6137 0.7679 0.8457
K4 0.8457 0.2321 0.1543
Tl1 0.4330 0.4278 0.0052
Tl2 0.0052 0.5722 0.9948
Tl3 0.9948 0.4278 0.5670
Tl4 0.5670 0.5722 0.4330
Cd1 0.0000 0.0000 0.0000

Properties
* E_form: -0.01 eV/atom
* total energy: -1.65 eV/atom
* space-group type: I-42m (121)

=====

4.
Density functional theory data (PBE-GGA) for an optimized crystal structure of K2TlCd.

a = 4.0105 Å, b = 4.0105 Å, c = 11.8647 Å
α = 80.48°, β = 80.48°, γ = 59.84°
Fractional positions:
K1 0.0835 0.0835 0.7493
K2 0.2501 0.2501 0.2506
Tl1 0.4997 0.4997 0.4999
Cd1 0.6667 0.6667 0.0002

Properties
* E_form: 0.07 eV/atom
* total energy: -1.30 eV/atom
* space-group type: Cm (8)